# TlCd2 GGA-PBE relaxed
# E_tot, eV/atom: -1.3570
# Calculated formation energy, eV/atom: 0.042
data_TlCd2
_cell_length_a 5.1729
_cell_length_b 5.1729
_cell_length_c 3.4416
_cell_angle_alpha 90.00
_cell_angle_beta 90.00
_cell_angle_gamma 120.00
_symmetry_space_group_name_H-M 'P -3 m 1'
_symmetry_Int_Tables_number 164
_symmetry_space_group_name_Hall '-P 3 2"'
loop_
_atom_site_label
_atom_site_fract_x
_atom_site_fract_y
_atom_site_fract_z
Tl1 0.0000 0.0000 0.0000
Cd1 0.3333 0.6667 0.4933